# 1
Tm6As2PSe3: relaxed, PBE.

a b c (Å): 9.0295 9.0295 8.0780
angles (deg): 103.39 103.39 25.68
Atoms (fractional coordinates):
Tm 0.0020 0.0020 0.2325
Tm 0.3316 0.3316 0.4244
Tm 0.3410 0.3410 0.9141
Tm 0.6590 0.6590 0.0859
Tm 0.6684 0.6684 0.5756
Tm 0.9980 0.9980 0.7675
As 0.1668 0.1668 0.3327
As 0.8332 0.8332 0.6673
P 0.5000 0.5000 0.0000
Se 0.1680 0.1680 0.8334
Se 0.5000 0.5000 0.5000
Se 0.8320 0.8320 0.1666

* VASP energy: -0.4420 Ry per atom
* volume: 23.10 Å³ per atom
* formation energy (no corrections): -1681 meV per atom
* Fermi-level density of states: 0.34 states/eV/atom

---

# 2
Tm6As2P3Se: relaxed, PBE.

a b c (Å): 8.9382 8.9382 8.0107
angles (deg): 103.06 103.06 25.82
Atoms (fractional coordinates):
Tm 0.0016 0.0016 0.2379
Tm 0.3291 0.3291 0.4195
Tm 0.3346 0.3346 0.9129
Tm 0.6654 0.6654 0.0871
Tm 0.6709 0.6709 0.5805
Tm 0.9984 0.9984 0.7621
As 0.1659 0.1659 0.8315
As 0.8341 0.8341 0.1685
P 0.1653 0.1653 0.3337
P 0.5000 0.5000 0.0000
P 0.8347 0.8347 0.6663
Se 0.5000 0.5000 0.5000

* VASP energy: -0.4625 Ry per atom
* volume: 22.60 Å³ per atom
* formation energy (no corrections): -1639 meV per atom
* Fermi-level density of states: 0.15 states/eV/atom

---

# 3
Tm8As3PSe3: relaxed, PBE.

a b c (Å): 8.0290 8.0290 8.0290
angles (deg): 59.87 59.87 59.87
Atoms (fractional coordinates):
Tm 0.2374 0.7570 0.7570
Tm 0.2430 0.2430 0.7626
Tm 0.2430 0.7626 0.2430
Tm 0.2456 0.2456 0.2456
Tm 0.7544 0.7544 0.7544
Tm 0.7570 0.2374 0.7570
Tm 0.7570 0.7570 0.2374
Tm 0.7626 0.2430 0.2430
As 0.0000 0.0000 0.5000
As 0.0000 0.5000 0.0000
As 0.5000 0.0000 0.0000
P 0.0000 0.0000 0.0000
Se 0.0000 0.5000 0.5000
Se 0.5000 0.0000 0.5000
Se 0.5000 0.5000 0.0000

* VASP energy: -0.4323 Ry per atom
* volume: 24.33 Å³ per atom
* formation energy (no corrections): -1509 meV per atom
* Fermi-level density of states: 0.43 states/eV/atom

---

# 4
Tm6As3P2Se: relaxed, PBE.

a b c (Å): 8.9730 8.9730 8.0442
angles (deg): 102.81 102.81 25.87
Atoms (fractional coordinates):
Tm 0.0028 0.0028 0.2591
Tm 0.3296 0.3296 0.9089
Tm 0.3311 0.3311 0.4208
Tm 0.6689 0.6689 0.5792
Tm 0.6704 0.6704 0.0911
Tm 0.9972 0.9972 0.7409
As 0.1643 0.1643 0.8334
As 0.5000 0.5000 0.5000
As 0.8357 0.8357 0.1666
P 0.1665 0.1665 0.3325
P 0.8335 0.8335 0.6675
Se 0.5000 0.5000 0.0000

* VASP energy: -0.4559 Ry per atom
* volume: 22.93 Å³ per atom
* formation energy (no corrections): -1613 meV per atom
* Fermi-level density of states: 0.16 states/eV/atom

---

# 5
U6AsP2Se3: relaxed, PBE.

a b c (Å): 7.0717 7.0717 6.8271
angles (deg): 99.99 99.99 120.29
Atoms (fractional coordinates):
U 0.0786 0.4201 0.7610
U 0.2359 0.2359 0.2344
U 0.4201 0.0786 0.7610
U 0.5799 0.9214 0.2390
U 0.7641 0.7641 0.7656
U 0.9214 0.5799 0.2390
As 0.5000 0.5000 0.0000
P 0.1676 0.8324 0.0000
P 0.8324 0.1676 0.0000
Se 0.0000 0.0000 0.5000
Se 0.3380 0.6620 0.5000
Se 0.6620 0.3380 0.5000

* VASP energy: -0.6442 Ry per atom
* volume: 23.03 Å³ per atom
* formation energy (no corrections): -961 meV per atom
* Fermi-level density of states: 2.52 states/eV/atom

---

# 6
U4As2PSe: relaxed, PBE.

a b c (Å): 6.8882 3.9632 7.2155
angles (deg): 90.00 108.40 90.00
Atoms (fractional coordinates):
U 0.2408 0.0000 0.2401
U 0.2460 0.5000 0.7563
U 0.7540 0.5000 0.2437
U 0.7592 0.0000 0.7599
As 0.5000 0.0000 0.0000
As 0.5000 0.5000 0.5000
P 0.0000 0.5000 0.0000
Se 0.0000 0.0000 0.5000

* VASP energy: -0.6449 Ry per atom
* volume: 23.36 Å³ per atom
* formation energy (no corrections): -856 meV per atom
* Fermi-level density of states: 2.59 states/eV/atom

---

Question: Among the records above, which one has the lowest volume?
Answer: Tm6As2P3Se

---

Question: Among the records above, which one has the lowest formation energy (no corrections)?
Answer: Tm6As2PSe3

---

Question: What is the formula in the fourth record?
Answer: Tm6As3P2Se

---

Question: Which of these has the lowest Fermi-level density of states?
Answer: Tm6As2P3Se